Run a
Computed, not measured: a relaxed structure of AcPr6Tm2 at the PBE level of DFT. Values from VASP.

Quantum ESPRESSO input file:
```
&SYSTEM
  ibrav = 0, nat = 18, ntyp = 3
/
ATOMIC_SPECIES
Ac 227.00 Ac.upf
Pr 140.91 Pr.upf
Tm 168.93 Tm.upf
CELL_PARAMETERS angstrom
-5.0676 -2.7430 0.9471
2.5712 5.2161 10.8516
-1.9862 11.3690 4.2869
ATOMIC_POSITIONS crystal
Ac 0.2500 0.2499 0.7501
Ac 0.7500 0.7501 0.2499
Pr 0.8383 0.5057 0.6713
Pr 0.6617 0.3287 0.4943
Pr 0.1617 0.4943 0.3287
Pr 0.3383 0.6713 0.5057
Pr 0.9211 0.9216 0.4211
Pr 0.5789 0.5789 0.0784
Pr 0.0789 0.0784 0.5789
Pr 0.4211 0.4211 0.9216
Pr 0.1613 0.8281 0.9948
Pr 0.3387 0.0052 0.1719
Pr 0.8387 0.1719 0.0052
Pr 0.6613 0.9948 0.8281
Tm 0.5010 0.8331 0.6668
Tm 0.9990 0.3332 0.1669
Tm 0.4990 0.1669 0.3332
Tm 0.0010 0.6668 0.8331
```

Values from the calculation:
theoretical density: 7.3 g/cm³
magnetic moment: 0.000 Bohr magnetons per cell
V: 638.7 Å³ per cell

Run b
Computed, not measured: a relaxed structure of AcPr6Tm2 at the PBE level of DFT. Values from VASP.

Quantum ESPRESSO input file:
```
&SYSTEM
  ibrav = 0, nat = 18, ntyp = 3
/
ATOMIC_SPECIES
Ac 227.00 Ac.upf
Pr 140.91 Pr.upf
Tm 168.93 Tm.upf
CELL_PARAMETERS angstrom
-6.2900 0.3151 -0.0552
-4.9093 -6.7083 -7.5183
-5.0204 -6.2347 7.8455
ATOMIC_POSITIONS crystal
Ac 0.2500 0.1852 0.8148
Ac 0.7500 0.8148 0.1852
Pr 0.4013 0.6667 0.4467
Pr 0.0987 0.5533 0.3333
Pr 0.5987 0.3333 0.5533
Pr 0.9013 0.4467 0.6667
Pr 0.8159 0.9941 0.4276
Pr 0.6841 0.5724 0.0059
Pr 0.1841 0.0059 0.5724
Pr 0.3159 0.4276 0.9941
Pr 0.2798 0.8455 0.9336
Pr 0.2202 0.0664 0.1545
Pr 0.7202 0.1545 0.0664
Pr 0.7798 0.9336 0.8455
Tm 0.2068 0.6260 0.7690
Tm 0.2932 0.2310 0.3740
Tm 0.7932 0.3740 0.2310
Tm 0.7068 0.7690 0.6260
```

Values from the calculation:
theoretical density: 7.2 g/cm³
magnetic moment: 0.000 Bohr magnetons per cell
V: 650.1 Å³ per cell

Name the most stable of them. run a.

Run a
Computed, not measured: a relaxed structure of AcPr2Tm at the PBE level of DFT. Values from VASP.

Quantum ESPRESSO input file:
```
&SYSTEM
  ibrav = 0, nat = 4, ntyp = 3
/
ATOMIC_SPECIES
Pr 140.91 Pr.upf
Ac 227.00 Ac.upf
Tm 168.93 Tm.upf
CELL_PARAMETERS angstrom
-3.0494 -0.3239 4.3028
2.9766 -3.9234 1.8141
3.0838 3.4710 2.4468
ATOMIC_POSITIONS crystal
Pr 0.0000 0.0000 0.5000
Pr 0.0000 0.5000 0.0000
Ac 0.5000 0.0000 0.0000
Tm 0.5000 0.5000 0.5000
```

Values from the calculation:
theoretical density: 7.7 g/cm³
magnetic moment: 0.000 Bohr magnetons per cell
V: 145.5 Å³ per cell

Run b
Computed, not measured: a relaxed structure of AcPr2Tm at the PBE level of DFT. Values from VASP.

Quantum ESPRESSO input file:
```
&SYSTEM
  ibrav = 0, nat = 4, ntyp = 3
/
ATOMIC_SPECIES
Ac 227.00 Ac.upf
Pr 140.91 Pr.upf
Tm 168.93 Tm.upf
CELL_PARAMETERS angstrom
3.7432 0.0000 0.0000
1.8716 3.2417 0.0000
1.8716 1.0806 12.1214
ATOMIC_POSITIONS crystal
Ac 0.4998 0.4998 0.5005
Pr 0.0789 0.0789 0.7632
Pr 0.2546 0.2546 0.2362
Tm 0.6666 0.6666 0.0001
```

Values from the calculation:
theoretical density: 7.7 g/cm³
magnetic moment: 0.000 Bohr magnetons per cell
V: 147.1 Å³ per cell

Run c
Computed, not measured: a relaxed structure of AcPr2Tm at the PBE level of DFT. Values from VASP.

Quantum ESPRESSO input file:
```
&SYSTEM
  ibrav = 0, nat = 4, ntyp = 3
/
ATOMIC_SPECIES
Pr 140.91 Pr.upf
Ac 227.00 Ac.upf
Tm 168.93 Tm.upf
CELL_PARAMETERS angstrom
3.6508 0.0000 0.0000
1.8254 3.1617 0.0000
1.8254 1.0539 12.9529
ATOMIC_POSITIONS crystal
Pr 0.0927 0.0927 0.7220
Pr 0.9073 0.9073 0.2780
Ac 0.0000 0.0000 0.0000
Tm 0.5000 0.5000 0.5000
```

Values from the calculation:
theoretical density: 7.5 g/cm³
magnetic moment: 0.000 Bohr magnetons per cell
V: 149.5 Å³ per cell

Run d
Computed, not measured: a relaxed structure of AcPr2Tm at the PBE level of DFT. Values from VASP.

Quantum ESPRESSO input file:
```
&SYSTEM
  ibrav = 0, nat = 4, ntyp = 3
/
ATOMIC_SPECIES
Pr 140.91 Pr.upf
Ac 227.00 Ac.upf
Tm 168.93 Tm.upf
CELL_PARAMETERS angstrom
3.7552 0.0000 0.0000
0.0000 3.7552 0.0000
0.0000 0.0000 10.4252
ATOMIC_POSITIONS crystal
Pr 0.0000 0.0000 0.7659
Pr 0.0000 0.0000 0.2341
Ac 0.5000 0.5000 0.5000
Tm 0.5000 0.5000 0.0000
```

Values from the calculation:
theoretical density: 7.7 g/cm³
magnetic moment: 0.000 Bohr magnetons per cell
V: 147.0 Å³ per cell

Name the most stable of them. run a.